Record 1
First-principles (PBE-GGA) data for Re2HgPbAu after structural relaxation, as listed in the Alexandria database.

abc: 5.095 5.095 5.127
angles: 90.00 90.00 90.00
Space group P4/mmm (No. 123)
One atom of each set of equivalent atoms:
Re  0.000  0.500  0.000 x2
Hg  0.000  0.000  0.500 x1
Pb  0.500  0.500  0.500 x1
Au  0.000  0.000  0.000 x1

## Properties
Magnetization ... 1.18 μB per atom
DFT formation energy ... 1.999 eV per atom
Final energy ... -4.44 eV/atom


Record 2
First-principles (PBE-GGA) data for HgPbAuS2 after structural relaxation, as listed in the Alexandria database.

abc: 5.228 5.228 5.524
angles: 90.00 90.00 90.00
Space group P4/mmm (No. 123)
One atom of each set of equivalent atoms:
Hg  0.000  0.000  0.000 x1
Pb  0.500  0.500  0.500 x1
Au  0.500  0.500  0.000 x1
S  0.000  0.500  0.500 x2

## Properties
Raw formation energy ... 59.6 kJ/mol of atoms
Magnetization ... 0.00 μB per atom
Final energy ... -2.49 eV/atom


Record 3
First-principles (PBE-GGA) data for Hg2Sb2Pb4Au after structural relaxation, as listed in the Alexandria database.

abc: 11.179 7.680 6.351
angles: 90.00 96.46 90.00
Space group C2/m (No. 12)
One atom of each set of equivalent atoms:
Hg  0.134  0.000  0.189 x4
Sb  0.165  0.500  0.347 x4
Pb  0.108  0.246  0.716 x8
Au  0.000  0.500  0.000 x2

## Properties
Raw formation energy ... 1.0 kJ/mol of atoms
Magnetization ... 0.00 μB per atom
Final energy ... -2.99 eV/atom


Record 4
First-principles (PBE-GGA) data for HgSbPb2Au6 after structural relaxation, as listed in the Alexandria database.

abc: 7.270 7.670 8.648
angles: 90.00 90.00 90.00
Space group Pmmn (No. 59, origin choice 2)
One atom of each set of equivalent atoms:
Hg  0.250  0.250  0.184 x2
Sb  0.250  0.750  0.293 x2
Pb  0.250  0.015  0.828 x4
Au  0.043  0.750  0.026 x4
Au  0.056  0.750  0.608 x4
Au  0.250  0.052  0.483 x4

## Properties
Raw formation energy ... 3.0 kJ/mol of atoms
Magnetization ... 0.00 μB per atom
Final energy ... -3.12 eV/atom


The calculated volume results, record by record, are as follows: 26.6 30.2 30.1 24.1 A^3/atom.